[1]
DFT (PBE) results for a relaxed LiBBr3 crystal.

abc: 4.8230 4.8230 4.8230
angles: 90.00 90.00 90.00
With the nearest neighbours (Å) after each atom.
Sites, in units of the cell vectors:
B  0.0000  0.0000  0.0000  6 Br 2.41
Br  0.0000  0.5000  0.0000  2 B 2.41
Br  0.0000  0.0000  0.5000  2 B 2.41
Br  0.5000  0.0000  0.0000  2 B 2.41
Li  0.5000  0.5000  0.5000  12 Br 3.41

Summary:
- ΔE_f (raw): -0.03 eV/atom
- Crystal system: cubic
- Distance to the lowest polymorph of the same formula: 788 meV per atom



[2]
DFT (PBE) results for a relaxed CeHfSb2N crystal.

abc: 3.9266 3.9266 14.7766
angles: 90.00 90.00 90.00
With the nearest neighbours (Å) after each atom.
Sites, in units of the cell vectors:
Ce  0.5000  0.0000  0.5767  4 N 2.27
Ce  0.0000  0.5000  0.4233  4 N 2.27
Hf  0.5000  0.0000  0.0680  6 Sb 2.94-3.02
Hf  0.0000  0.5000  0.9320  6 Sb 2.94-3.02
Sb  0.0000  0.5000  0.7277  1 Hf 3.02
Sb  0.0000  0.5000  0.1343  5 Hf 2.94-2.99
Sb  0.5000  0.0000  0.8657  5 Hf 2.94-2.99
Sb  0.5000  0.0000  0.2723  1 Hf 3.02
N  0.0000  0.0000  0.5000  4 Ce 2.27
N  0.5000  0.5000  0.5000  4 Ce 2.27

Summary:
- ΔE_f (raw): -0.81 eV/atom
- Crystal system: tetragonal



[3]
DFT (PBE) results for a relaxed Bi2Pd7Rh crystal.

abc: 3.5708 8.5579 8.5579
angles: 128.01 90.00 90.00
With the nearest neighbours (Å) after each atom.
Sites, in units of the cell vectors:
Bi  0.5000  0.6830  0.3170  5 Pd 2.69-2.82
Bi  0.5000  0.3170  0.6830  5 Pd 2.69-2.82
Pd  0.0000  0.8137  0.1863  2 Bi 2.69, 4 Pd 2.72, 1 Rh 2.87
Pd  0.0000  0.1863  0.8137  2 Bi 2.69, 4 Pd 2.72, 1 Rh 2.87
Pd  0.5000  0.0998  0.2822  2 Rh 2.68, 5 Pd 2.71-2.87, 1 Bi 2.72
Pd  0.5000  0.9002  0.7178  2 Rh 2.68, 5 Pd 2.71-2.87, 1 Bi 2.72
Pd  0.5000  0.2822  0.0998  2 Rh 2.68, 5 Pd 2.71-2.87, 1 Bi 2.72
Pd  0.5000  0.7178  0.9002  2 Rh 2.68, 5 Pd 2.71-2.87, 1 Bi 2.72
Pd  0.5000  0.5000  0.5000  4 Pd 2.71, 2 Bi 2.82
Rh  0.0000  0.0000  0.0000  10 Pd 2.68-2.87

Summary:
- Energy of formation from the pure elements: 178 meV per atom
- Crystal system: orthorhombic



Copy entry 1 word for word.
DFT (PBE) results for a relaxed LiBBr3 crystal.

abc: 4.8230 4.8230 4.8230
angles: 90.00 90.00 90.00
With the nearest neighbours (Å) after each atom.
Sites, in units of the cell vectors:
B  0.0000  0.0000  0.0000  6 Br 2.41
Br  0.0000  0.5000  0.0000  2 B 2.41
Br  0.0000  0.0000  0.5000  2 B 2.41
Br  0.5000  0.0000  0.0000  2 B 2.41
Li  0.5000  0.5000  0.5000  12 Br 3.41

Summary:
- ΔE_f (raw): -0.03 eV/atom
- Crystal system: cubic
- Distance to the lowest polymorph of the same formula: 788 meV per atom



- Number 1 is which compound?
  LiBBr3